[1]
DFT (PBE-GGA) results for an optimized crystal structure of Tl2GeAs5.

Properties
As for the formation energy: 9.5 kJ/mol of atoms. The final energy comes out at -3.976 eV per atom. The density of states at the Fermi level is 0.25 states/eV per atom.

Cell: 5.624 6.647 9.305 Å, 137.05 111.58 72.01°
Positions (direct):
As (0.601, 0.503, 0.298)
As (0.299, 0.905, 0.127)
As (0.875, 0.357, 0.042)
As (0.393, 0.379, 0.954)
As (0.720, 0.996, 0.152)
Tl (0.230, 0.638, 0.555)
Tl (0.763, 0.184, 0.591)
Ge (0.897, 0.814, 0.837)

[2]
DFT (PBE-GGA) results for an optimized crystal structure of SrAc2Hg3.

Properties
As for the formation energy: -48.8 kJ/mol of atoms. The final energy comes out at -2.307 eV per atom. The density of states at the Fermi level is 0.79 states/eV per atom.

Cell: 4.020 4.020 12.226 Å, 90.00 90.00 90.00°
Positions (direct):
Hg (0.000, 0.000, 0.332)
Hg (0.000, 0.000, 0.000)
Hg (0.000, 0.000, 0.668)
Ac (0.500, 0.500, 0.833)
Ac (0.500, 0.500, 0.167)
Sr (0.500, 0.500, 0.500)

[3]
DFT (PBE-GGA) results for an optimized crystal structure of VCo4Pd.

Properties
As for the formation energy: -2.0 kJ/mol of atoms. The final energy comes out at -7.144 eV per atom. The density of states at the Fermi level is 1.45 states/eV per atom.

Cell: 4.695 4.695 4.695 Å, 60.00 60.00 60.00°
Each line ends with the local moment (μB).
Positions (direct):
V (0.250, 0.250, 0.250)  -1.27
Co (0.625, 0.625, 0.125)  1.53
Co (0.125, 0.625, 0.625)  1.53
Co (0.625, 0.125, 0.625)  1.53
Co (0.625, 0.625, 0.625)  1.53
Pd (0.000, 0.000, 0.000)  0.16

[4]
DFT (PBE-GGA) results for an optimized crystal structure of Rb3HgW2S8.

Properties
The final energy comes out at -5.179 eV per atom. The value obtained for the formation energy (no corrections) is -0.741 eV per atom. The density of states at the Fermi level is 0.23 states/eV per atom.

Cell: 7.254 7.254 9.893 Å, 90.00 90.00 120.00°
Positions (direct):
Hg (0.000, 0.000, 0.500)
S (0.333, 0.667, 0.999)
S (0.834, 0.668, 0.709)
S (0.834, 0.166, 0.709)
S (0.332, 0.166, 0.709)
S (0.668, 0.834, 0.291)
S (0.166, 0.332, 0.291)
S (0.667, 0.333, 0.001)
S (0.166, 0.834, 0.291)
W (0.667, 0.333, 0.781)
W (0.333, 0.667, 0.219)
Rb (0.000, 0.000, 0.000)
Rb (0.333, 0.667, 0.654)
Rb (0.667, 0.333, 0.346)

[5]
DFT (PBE-GGA) results for an optimized crystal structure of Sc2HgPt.

Properties
As for the formation energy: -60.8 kJ/mol of atoms. The final energy comes out at -5.382 eV per atom. The density of states at the Fermi level is 0.78 states/eV per atom.

Cell: 3.765 3.766 5.981 Å, 90.00 90.00 90.00°
Positions (direct):
Pt (0.500, 0.500, 0.820)
Sc (0.500, 0.500, 0.272)
Sc (0.000, 0.000, 0.940)
Hg (0.000, 0.000, 0.468)

[6]
DFT (PBE-GGA) results for an optimized crystal structure of Pa2Be4AlPt3.

Properties
As for the formation energy: -62.7 kJ/mol of atoms. The final energy comes out at -6.226 eV per atom. The density of states at the Fermi level is 0.98 states/eV per atom.

Cell: 3.937 3.937 9.978 Å, 90.00 90.00 90.00°
Positions (direct):
Be (0.000, 0.000, 0.000)
Be (0.000, 0.500, 0.361)
Be (0.500, 0.000, 0.639)
Be (0.500, 0.500, 0.000)
Pt (0.500, 0.000, 0.871)
Pt (0.000, 0.000, 0.500)
Pt (0.000, 0.500, 0.129)
Al (0.500, 0.500, 0.500)
Pa (0.000, 0.500, 0.759)
Pa (0.500, 0.000, 0.241)

[7]
DFT (PBE-GGA) results for an optimized crystal structure of Cr2HgOs.

Properties
As for the formation energy: 56.3 kJ/mol of atoms. The final energy comes out at -7.111 eV per atom. The density of states at the Fermi level is 0.83 states/eV per atom.

Cell: 4.720 4.720 4.853 Å, 80.19 80.19 35.02°
Positions (direct):
Hg (0.750, 0.750, 0.750)
Os (0.250, 0.250, 0.250)
Cr (0.993, 0.993, 0.074)
Cr (0.507, 0.507, 0.426)

[8]
DFT (PBE-GGA) results for an optimized crystal structure of KMg2Te2.

Properties
The relative energy among the computed polymorphs is 0 meV/atom. The final energy comes out at -2.776 eV per atom. The value obtained for the formation energy (no corrections) is -0.662 eV per atom. The density of states at the Fermi level is 0.70 states/eV per atom.

Cell: 4.830 4.830 8.230 Å, 72.94 72.94 90.00°
Positions (direct):
Te (0.642, 0.642, 0.716)
Te (0.358, 0.358, 0.284)
Mg (0.750, 0.250, 0.500)
Mg (0.250, 0.750, 0.500)
K (0.000, 0.000, 0.000)

[9]
DFT (PBE-GGA) results for an optimized crystal structure of Ce3PuIn.

Properties
As for the formation energy: -8.5 kJ/mol of atoms. The relative energy among the computed polymorphs is 13 meV/atom. The final energy comes out at -7.062 eV per atom. The density of states at the Fermi level is 1.58 states/eV per atom.

Cell: 7.127 6.454 6.929 Å, 90.00 89.99 56.48°
Positions (direct):
Ce (0.268, 0.464, 0.750)
Ce (0.759, 0.000, 0.000)
Ce (0.241, 0.000, 0.000)
Ce (0.241, 0.000, 0.500)
Ce (0.759, 0.000, 0.500)
Ce (0.732, 0.536, 0.250)
In (0.774, 0.451, 0.750)
In (0.226, 0.549, 0.250)
Pu (0.509, 0.983, 0.250)
Pu (0.491, 0.017, 0.750)

[10]
DFT (PBE-GGA) results for an optimized crystal structure of KYN2.

Properties
The relative energy among the computed polymorphs is 353 meV/atom. The final energy comes out at -5.679 eV per atom. The value obtained for the formation energy (no corrections) is 0.374 eV per atom. The density of states at the Fermi level is 0.35 states/eV per atom.

Cell: 4.377 4.377 4.377 Å, 60.00 60.00 60.00°
Each line ends with the local moment (μB).
Positions (direct):
Y (0.500, 0.500, 0.500)  0.00
N (0.250, 0.250, 0.250)  0.69
N (0.750, 0.750, 0.750)  0.69
K (0.000, 0.000, 0.000)  0.01

[11]
DFT (PBE-GGA) results for an optimized crystal structure of PbI2O2.

Properties
The relative energy among the computed polymorphs is 455 meV/atom. The final energy comes out at -2.895 eV per atom. The value obtained for the formation energy (no corrections) is 0.450 eV per atom. The density of states at the Fermi level is 1.01 states/eV per atom.

Cell: 6.272 6.272 4.156 Å, 90.00 90.00 90.00°
Each line ends with the local moment (μB).
Positions (direct):
I (0.500, 0.000, 0.000)  0.28
I (0.000, 0.500, 0.000)  0.28
O (0.500, 0.500, 0.500)  1.48
O (0.000, 0.000, 0.500)  0.01
Pb (0.000, 0.000, 0.000)  0.01